[1]
A relaxed KYSi crystal. Source: Alexandria via LeMat-Bulk, functional PBE-GGA.

The space group is F-43m (No. 216) and the conventional cell measures 7.284, 7.284 and 7.284 Å, with angles of 90.00, 90.00 and 90.00 degrees. The inequivalent atoms are K at (0.000, 0.000, 0.000), Y at (0.000, 0.000, 0.500) and Si at (0.250, 0.250, 0.750).

The energy above the most stable polymorph in this dataset is 1.363 eV per formula unit. The calculation puts the density of states at the Fermi level at 0.0000 states/eV per atom.

=====

[2]
A relaxed KY3Si crystal. Source: Alexandria via LeMat-Bulk, functional PBE-GGA.

The space group is Pm-3m (No. 221) and the conventional cell measures 5.236, 5.236 and 5.236 Å, with angles of 90.00, 90.00 and 90.00 degrees. The inequivalent atoms are K at (0.000, 0.000, 0.000), Y at (0.000, 0.000, 0.500) and Si at (0.500, 0.500, 0.500).

The energy above the most stable polymorph in this dataset is 6.551 eV per formula unit. The calculation puts the density of states at the Fermi level at 0.6240 states/eV per atom.

=====

[3]
A relaxed KYSi crystal. Source: Alexandria via LeMat-Bulk, functional PBE-GGA.

The space group is Cm (No. 8) and the conventional cell measures 27.052, 4.110 and 4.025 Å, with angles of 90.00, 98.54 and 90.00 degrees. The inequivalent atoms are K at (0.000, 0.000, 0.000), K at (0.156, 0.500, 0.651), Y at (0.283, 0.000, 0.779), Y at (0.373, 0.500, 0.373), Si at (0.263, 0.500, 0.259) and Si at (0.394, 0.000, 0.893).

The energy above the most stable polymorph in this dataset is 0.169 eV per formula unit. The calculation puts the density of states at the Fermi level at 0.6291 states/eV per atom.

=====

[4]
A relaxed KYSi crystal. Source: Alexandria via LeMat-Bulk, functional PBE-GGA.

The space group is F-43m (No. 216) and the conventional cell measures 7.002, 7.002 and 7.002 Å, with angles of 90.00, 90.00 and 90.00 degrees. The inequivalent atoms are K at (0.000, 0.000, 0.000), Y at (0.250, 0.250, 0.250) and Si at (0.250, 0.250, 0.750).

The energy above the most stable polymorph in this dataset is 3.377 eV per formula unit. The calculation puts the density of states at the Fermi level at 0.3143 states/eV per atom.

=====

[5]
A relaxed KYSi crystal. Source: Alexandria via LeMat-Bulk, functional PBE-GGA.

The space group is C2/m (No. 12) and the conventional cell measures 9.147, 6.634 and 7.474 Å, with angles of 90.00, 122.55 and 90.00 degrees. The inequivalent atoms are K at (0.189, 0.000, 0.011), Y at (0.174, 0.500, 0.406) and Si at (0.000, 0.189, 0.500).

The energy above the most stable polymorph in this dataset is 0.605 eV per formula unit. The calculation puts the density of states at the Fermi level at 0.7085 states/eV per atom.

=====

[6]
A relaxed KYSi crystal. Source: Alexandria via LeMat-Bulk, functional PBE-GGA.

The space group is P-1 (No. 2) and the conventional cell measures 4.101, 5.501 and 11.067 Å, with angles of 85.88, 79.43 and 68.13 degrees. The inequivalent atoms are K at (0.209, 0.241, 0.345), Y at (0.405, 0.283, 0.907) and Si at (0.115, 0.855, 0.914).

The energy above the most stable polymorph in this dataset is 0.385 eV per formula unit. The calculation puts the density of states at the Fermi level at 1.2235 states/eV per atom.

=====

[7]
A relaxed KY4Si crystal. Source: Alexandria via LeMat-Bulk, functional PBE-GGA.

The space group is F-43m (No. 216) and the conventional cell measures 9.267, 9.267 and 9.267 Å, with angles of 90.00, 90.00 and 90.00 degrees. The inequivalent atoms are K at (0.000, 0.000, 0.000), Y at (0.124, 0.124, 0.376) and Si at (0.250, 0.250, 0.750).

The total energy comes out at -4.7719 eV/atom. The calculation puts the density of states at the Fermi level at 1.3099 states/eV per atom.

=====

[8]
A relaxed KYSi crystal. Source: Alexandria via LeMat-Bulk, functional PBE-GGA.

The space group is P6_3/mmc (No. 194) and the conventional cell measures 6.8314, 6.8314 and 10.4701 Å, with angles of 90.00, 90.00 and 120.00 degrees. The inequivalent atoms are K at (0.3333, 0.6667, 0.2500), Y at (0.0000, 0.0000, 0.2500) and Si at (0.0000, 0.0000, 0.0000).

The energy above the most stable polymorph in this dataset is 4.255 eV per formula unit. The calculation puts the density of states at the Fermi level at 1.4615 states/eV per atom.

=====

[9]
A relaxed KY3Si crystal. Source: Alexandria via LeMat-Bulk, functional PBE-GGA.

The space group is Pm-3m (No. 221) and the conventional cell measures 5.632, 5.632 and 5.632 Å, with angles of 90.00, 90.00 and 90.00 degrees. The inequivalent atoms are K at (0.000, 0.000, 0.000), Y at (0.000, 0.500, 0.500) and Si at (0.500, 0.500, 0.500).

The energy above the most stable polymorph in this dataset is 0.000 eV per formula unit. The calculation puts the density of states at the Fermi level at 1.7444 states/eV per atom.

=====

[10]
A relaxed KYSi crystal. Source: Alexandria via LeMat-Bulk, functional PBE-GGA.

The space group is P-1 (No. 2) and the conventional cell measures 3.833, 5.638 and 9.598 Å, with angles of 98.83, 90.28 and 90.00 degrees. The inequivalent atoms are K at (0.247, 0.295, 0.144), Y at (0.252, 0.151, 0.636) and Si at (0.250, 0.627, 0.548).

The energy above the most stable polymorph in this dataset is 0.739 eV per formula unit. The calculation puts the density of states at the Fermi level at 0.9994 states/eV per atom.

=====

[11]
A relaxed KYSi3 crystal. Source: Alexandria via LeMat-Bulk, functional PBE-GGA.

The space group is Pm-3m (No. 221) and the conventional cell measures 5.425, 5.425 and 5.425 Å, with angles of 90.00, 90.00 and 90.00 degrees. The inequivalent atoms are K at (0.000, 0.000, 0.000), Y at (0.500, 0.500, 0.500) and Si at (0.000, 0.500, 0.500).

The energy above the most stable polymorph in this dataset is 0.000 eV per formula unit. The calculation puts the density of states at the Fermi level at 0.4055 states/eV per atom.

=====

[12]
A relaxed KYSi crystal. Source: Alexandria via LeMat-Bulk, functional PBE-GGA.

The space group is C2/m (No. 12) and the conventional cell measures 6.987, 8.977 and 6.940 Å, with angles of 90.00, 101.04 and 90.00 degrees. The inequivalent atoms are K at (0.234, 0.000, 0.464), Y at (0.000, 0.295, 0.000) and Si at (0.171, 0.000, 0.974).

The energy above the most stable polymorph in this dataset is 0.664 eV per formula unit. The calculation puts the density of states at the Fermi level at 0.7015 states/eV per atom.